#1
Here is a geometry-optimized CsZnCl2 structure from Alexandria via LeMat-Bulk. Energies are from GGA-PBE.

Properties
Magnetization: 0.0 μB per formula unit

```
CsZnCl2
1.0
4.6294 0.0000 0.0000
-2.3147 4.0092 0.0000
0.0000 0.0000 26.8254
Cs Zn Cl
3 3 6
Direct
0.0000 0.0000 0.0000
0.3333 0.6667 0.6667
0.6667 0.3333 0.3333
0.0000 0.0000 0.5000
0.3333 0.6667 0.1667
0.6667 0.3333 0.8333
0.0000 0.0000 0.4117
0.0000 0.0000 0.5883
0.3333 0.6667 0.0783
0.3333 0.6667 0.2550
0.6667 0.3333 0.7450
0.6667 0.3333 0.9217
```



#2
Here is a geometry-optimized CsZnCl2 structure from Alexandria via LeMat-Bulk. Energies are from GGA-PBE.

Properties
Magnetization: 0.0 μB per formula unit

```
CsZnCl2
1.0
6.5657 0.0000 0.0000
0.0000 6.5657 0.0000
0.0000 0.0000 14.4596
Cs Zn Cl
4 4 8
Direct
0.0000 0.0000 0.0000
0.0000 0.5000 0.2500
0.5000 0.0000 0.7500
0.5000 0.5000 0.5000
0.0000 0.0000 0.5000
0.0000 0.5000 0.7500
0.5000 0.0000 0.2500
0.5000 0.5000 0.0000
0.1328 0.2500 0.6250
0.2500 0.6328 0.8750
0.2500 0.8672 0.3750
0.3672 0.2500 0.1250
0.6328 0.7500 0.1250
0.7500 0.1328 0.3750
0.7500 0.3672 0.8750
0.8672 0.7500 0.6250
```



Q: Which of them is the most stable? A: #2.



#1
Here is a geometry-optimized CsZr2Cl2 structure from Alexandria via LeMat-Bulk. Energies are from GGA-PBE.

Properties
Magnetization: 0.0 μB per formula unit

```
CsZr2Cl2
1.0
4.1852 0.0000 0.0000
0.0000 4.1852 0.0000
0.0000 0.0000 15.8366
Cs Zr Cl
2 4 4
Direct
0.0000 0.0000 0.0000
0.5000 0.5000 0.5000
0.0000 0.5000 0.2500
0.0000 0.5000 0.7500
0.5000 0.0000 0.2500
0.5000 0.0000 0.7500
0.0000 0.0000 0.3675
0.0000 0.0000 0.6325
0.5000 0.5000 0.1325
0.5000 0.5000 0.8675
```



#2
Here is a geometry-optimized CsZr2Cl2 structure from Alexandria via LeMat-Bulk. Energies are from GGA-PBE.

Properties
Magnetization: 3.9 μB per formula unit

```
CsZr2Cl2
1.0
9.8735 0.0000 0.0000
0.0000 9.8735 0.0000
0.0000 0.0000 3.3657
Cs Zr Cl
2 4 4
Direct
0.0000 0.0000 0.0000
0.5000 0.5000 0.0000
0.1037 0.3963 0.5000
0.3963 0.8963 0.5000
0.6037 0.1037 0.5000
0.8963 0.6037 0.5000
0.1160 0.6160 0.0000
0.3840 0.1160 0.0000
0.6160 0.8840 0.0000
0.8840 0.3840 0.0000
```



Q: Which of them is the most stable? A: #1.



#1
Here is a geometry-optimized Cu3Cl structure from Alexandria via LeMat-Bulk. Energies are from GGA-PBE.

Properties
Magnetization: 0.0 μB per formula unit

```
Cu3Cl
1.0
6.7904 0.0000 0.0000
0.0000 8.8887 0.0000
0.0000 0.0000 4.1422
Cu Cl
12 4
Direct
0.0000 0.1790 0.2500
0.0000 0.8210 0.7500
0.1784 0.0725 0.7500
0.1784 0.9275 0.2500
0.3216 0.4275 0.2500
0.3216 0.5725 0.7500
0.5000 0.3210 0.7500
0.5000 0.6790 0.2500
0.6784 0.4275 0.2500
0.6784 0.5725 0.7500
0.8216 0.0725 0.7500
0.8216 0.9275 0.2500
0.0000 0.3512 0.7500
0.0000 0.6488 0.2500
0.5000 0.1488 0.2500
0.5000 0.8512 0.7500
```



#2
Here is a geometry-optimized Cu3Cl structure from Alexandria via LeMat-Bulk. Energies are from GGA-PBE.

Properties
Magnetization: 0.0 μB per formula unit

```
Cu3Cl
1.0
3.1034 0.0000 0.0000
0.0000 3.1944 0.0000
0.0000 0.0000 6.2010
Cu Cl
3 1
Direct
0.0000 0.0000 0.0000
0.5000 0.5000 0.1962
0.5000 0.5000 0.8038
0.0000 0.5000 0.5000
```



Q: Which of them is the most stable? A: #2.



#1
Here is a geometry-optimized Cu3Cl structure from Alexandria via LeMat-Bulk. Energies are from GGA-PBE.

Properties
Magnetization: 0.0 μB per formula unit

```
Cu3Cl
1.0
6.1280 0.0000 0.0000
0.0000 6.1280 0.0000
0.0000 0.0000 6.1280
Cu Cl
12 4
Direct
0.0000 0.0000 0.0000
0.0000 0.5000 0.5000
0.2500 0.2500 0.2500
0.2500 0.2500 0.7500
0.2500 0.7500 0.2500
0.2500 0.7500 0.7500
0.5000 0.0000 0.5000
0.5000 0.5000 0.0000
0.7500 0.2500 0.2500
0.7500 0.2500 0.7500
0.7500 0.7500 0.2500
0.7500 0.7500 0.7500
0.0000 0.0000 0.5000
0.0000 0.5000 0.0000
0.5000 0.0000 0.0000
0.5000 0.5000 0.5000
```



#2
Here is a geometry-optimized Cu3Cl structure from Alexandria via LeMat-Bulk. Energies are from GGA-PBE.

Properties
Magnetization: 0.0 μB per formula unit

```
Cu3Cl
1.0
3.1137 0.0000 0.0000
0.0000 3.1137 0.0000
0.0000 0.0000 5.9450
Cu Cl
3 1
Direct
0.0000 0.0000 0.0000
0.5000 0.5000 0.2086
0.5000 0.5000 0.7914
0.0000 0.0000 0.5000
```



#3
Here is a geometry-optimized Cu3Cl structure from Alexandria via LeMat-Bulk. Energies are from GGA-PBE.

Properties
Magnetization: 0.0 μB per formula unit

```
Cu3Cl
1.0
3.0579 0.0000 0.0000
-1.5290 2.6482 0.0000
0.0000 0.0000 21.5974
Cu Cl
9 3
Direct
0.0000 0.0000 0.0000
0.0000 0.0000 0.2520
0.0000 0.0000 0.7480
0.3333 0.6667 0.4146
0.3333 0.6667 0.6667
0.3333 0.6667 0.9187
0.6667 0.3333 0.0813
0.6667 0.3333 0.3333
0.6667 0.3333 0.5854
0.0000 0.0000 0.5000
0.3333 0.6667 0.1667
0.6667 0.3333 0.8333
```



#4
Here is a geometry-optimized Cu3Cl structure from Alexandria via LeMat-Bulk. Energies are from GGA-PBE.

Properties
Magnetization: 0.0 μB per formula unit

```
Cu3Cl
1.0
5.6820 0.0000 0.0000
-2.8410 4.9207 0.0000
0.0000 0.0000 8.4202
Cu Cl
12 4
Direct
0.0000 0.5000 0.0000
0.0000 0.5000 0.5000
0.1918 0.3835 0.2500
0.1918 0.8082 0.2500
0.3835 0.1918 0.7500
0.5000 0.0000 0.0000
0.5000 0.0000 0.5000
0.5000 0.5000 0.0000
0.5000 0.5000 0.5000
0.6165 0.8082 0.2500
0.8082 0.1918 0.7500
0.8082 0.6165 0.7500
0.0000 0.0000 0.0000
0.0000 0.0000 0.5000
0.3333 0.6667 0.7500
0.6667 0.3333 0.2500
```



Q: Which of them is the most stable? A: #2.